No. 1
LiAlF3 | GGA-PBE | optimized geometry

Output
Relative energy among the computed polymorphs: 326.6 meV/atom
Energy relative to the elements, uncorrected: -12.373 eV/f.u.
Total energy: -4.7286 eV per atom
Magnetization: 0.0 μB/f.u.

Unit cell a=3.9604 b=3.9604 c=3.9604 alpha=90.00 beta=90.00 gamma=90.00
Atoms (fractional coordinates):
Li: 0.0000 0.0000 0.0000
Al: 0.5000 0.5000 0.5000
F: 0.0000 0.5000 0.5000
F: 0.5000 0.0000 0.5000
F: 0.5000 0.5000 0.0000


No. 2
Ba5OsO6 | GGA-PBE | optimized geometry

Output
Energy relative to the elements, uncorrected: -21.679 eV/f.u.
Total energy: -6.0226 eV per atom
Magnetization: 0.1 μB/f.u.

Unit cell a=6.5812 b=6.5812 c=6.4514 alpha=99.62 beta=99.62 gamma=119.90
Atoms (fractional coordinates):
Ba: 0.0000 0.0000 0.0000
Ba: 0.1685 0.8315 0.5000
Ba: 0.3397 0.6603 0.0000
Ba: 0.6603 0.3397 0.0000
Ba: 0.8315 0.1685 0.5000
Os: 0.5000 0.5000 0.5000
O: 0.1388 0.4252 0.2801
O: 0.2829 0.2829 0.7284
O: 0.4252 0.1388 0.2801
O: 0.5748 0.8612 0.7199
O: 0.7171 0.7171 0.2716
O: 0.8612 0.5748 0.7199


No. 3
MoC2 | GGA-PBE | optimized geometry

Output
Relative energy among the computed polymorphs: 393.6 meV/atom
Total energy: -8.8471 eV per atom
Magnetization: 0.0 μB/f.u.

Unit cell a=3.8170 b=3.8170 c=3.8170 alpha=55.54 beta=55.54 gamma=55.54
Atoms (fractional coordinates):
Mo: 0.0000 0.0000 0.0000
C: 0.6478 0.6478 0.6478
C: 0.7920 0.7920 0.7920


No. 4
Ca8TlZn2 | GGA-PBE | optimized geometry

Output
Relative energy among the computed polymorphs: 0.0 meV/atom
Total energy: -2.0680 eV per atom
Magnetization: 0.0 μB/f.u.

Unit cell a=9.9352 b=9.9352 c=7.5393 alpha=112.23 beta=112.23 gamma=31.58
Atoms (fractional coordinates):
Ca: 0.0000 0.0000 0.0000
Ca: 0.1044 0.1044 0.6902
Ca: 0.2884 0.2884 0.1836
Ca: 0.3429 0.3429 0.7743
Ca: 0.5005 0.5005 0.3071
Ca: 0.6575 0.6575 0.0885
Ca: 0.7120 0.7120 0.6067
Ca: 0.8961 0.8961 0.4815
Tl: 0.5003 0.5003 0.7242
Zn: 0.1619 0.1619 0.3516
Zn: 0.8380 0.8380 0.0274


No. 5
MgRuAu | GGA-PBE | optimized geometry

Output
Relative energy among the computed polymorphs: 59.9 meV/atom
Total energy: -4.6076 eV per atom
Magnetization: 1.2 μB/f.u.

Unit cell a=5.0211 b=5.0211 c=5.0211 alpha=146.13 beta=134.83 gamma=57.63
Atoms (fractional coordinates):
Mg: 0.0000 0.0000 0.0000
Ru: 0.6632 0.6632 0.0000
Au: 0.3334 0.3334 0.0000


No. 6
Mg4H2O5 | GGA-PBE | optimized geometry

Output
Total energy: -5.6995 eV per atom
Magnetization: 0.0 μB/f.u.

Unit cell a=3.0577 b=3.0577 c=12.1967 alpha=90.00 beta=90.00 gamma=120.00
Atoms (fractional coordinates):
Mg: 0.0000 0.0000 0.1984
Mg: 0.0000 0.0000 0.8016
Mg: 0.3333 0.6667 0.3997
Mg: 0.6667 0.3333 0.6003
H: 0.3333 0.6667 0.0315
H: 0.6667 0.3333 0.9685
O: 0.0000 0.0000 0.5000
O: 0.3333 0.6667 0.1110
O: 0.3333 0.6667 0.7007
O: 0.6667 0.3333 0.2993
O: 0.6667 0.3333 0.8890


No. 7
Gd2HgAu | GGA-PBE | optimized geometry

Output
Relative energy among the computed polymorphs: 146.0 meV/atom
Total energy: -8.4562 eV per atom
Magnetization: 14.8 μB/f.u.

Unit cell a=8.5305 b=8.5305 c=8.5305 alpha=27.01 beta=27.01 gamma=27.01
Atoms (fractional coordinates):
Gd: 0.2433 0.2433 0.2433
Gd: 0.7567 0.7567 0.7567
Hg: 0.0000 0.0000 0.0000
Au: 0.5000 0.5000 0.5000


No. 8
Pm2LuRu | GGA-PBE | optimized geometry

Output
Relative energy among the computed polymorphs: 0.0 meV/atom
Total energy: -5.8657 eV per atom
Magnetization: 0.4 μB/f.u.

Unit cell a=3.4924 b=3.4924 c=9.0236 alpha=90.00 beta=90.00 gamma=90.00
Atoms (fractional coordinates):
Pm: 0.0000 0.0000 0.1899
Pm: 0.0000 0.0000 0.8101
Lu: 0.5000 0.5000 0.5000
Ru: 0.5000 0.5000 0.0000


Copy entry 7 word for word.
Gd2HgAu | GGA-PBE | optimized geometry

Output
Relative energy among the computed polymorphs: 146.0 meV/atom
Total energy: -8.4562 eV per atom
Magnetization: 14.8 μB/f.u.

Unit cell a=8.5305 b=8.5305 c=8.5305 alpha=27.01 beta=27.01 gamma=27.01
Atoms (fractional coordinates):
Gd: 0.2433 0.2433 0.2433
Gd: 0.7567 0.7567 0.7567
Hg: 0.0000 0.0000 0.0000
Au: 0.5000 0.5000 0.5000